Entry 1:
Density functional theory data (GGA-PBE) for crystalline NdDyH2O4 at its relaxed geometry.

The structure belongs to space group Pm (No. 6); the cell edges are 4.348, 3.690 and 6.072 Å and the angles 90.00°, 109.00° and 90.00°. The asymmetric unit holds Nd at (0.000, 0.000, 0.000), Dy at (0.670, 0.500, 0.384), H at (0.308, 0.500, 0.743), H at (0.337, 0.000, 0.585), O at (0.085, 0.500, 0.744), O at (0.107, 0.500, 0.253), O at (0.572, 0.000, 0.622) and O at (0.577, 0.000, 0.156).

The value obtained for the size of the total moment is 0.00 μB per formula unit. The value obtained for the total energy is -7.083 eV/atom.



Entry 2:
Density functional theory data (GGA-PBE) for crystalline DyHO2 at its relaxed geometry.

The structure belongs to space group R3m (No. 160, hexagonal axes); the cell edges are 3.4896, 3.4896 and 13.9714 Å and the angles 90.00°, 90.00° and 120.00°. The asymmetric unit holds Dy at (0.0000, 0.0000, 0.0000), H at (0.0000, 0.0000, 0.4926), O at (0.0000, 0.0000, 0.4178) and O at (0.0000, 0.0000, 0.5982).

The value obtained for the size of the total moment is 0.00 μB per formula unit. The value obtained for the total energy is -7.064 eV/atom.



Entry 3:
Density functional theory data (GGA-PBE) for crystalline DyHO2 at its relaxed geometry.

The structure belongs to space group Pmn2_1 (No. 31); the cell edges are 3.474, 4.793 and 5.426 Å and the angles 90.00°, 90.00° and 90.00°. The asymmetric unit holds Dy at (0.000, 0.226, 0.000), H at (0.000, 0.301, 0.481), O at (0.000, 0.020, 0.637) and O at (0.000, 0.477, 0.374).

The value obtained for the size of the total moment is 0.00 μB per formula unit. The value obtained for the total energy is -7.100 eV/atom.



Entry 4:
Density functional theory data (GGA-PBE) for crystalline PrDyH2O4 at its relaxed geometry.

The structure belongs to space group Pm (No. 6); the cell edges are 4.366, 3.696 and 6.108 Å and the angles 90.00°, 109.14° and 90.00°. The asymmetric unit holds Pr at (0.000, 0.000, 0.000), Dy at (0.672, 0.500, 0.386), H at (0.314, 0.500, 0.745), H at (0.334, 0.000, 0.579), O at (0.091, 0.500, 0.744), O at (0.110, 0.500, 0.258), O at (0.569, 0.000, 0.621) and O at (0.577, 0.000, 0.157).

The value obtained for the size of the total moment is 0.00 μB per formula unit. The value obtained for the total energy is -7.068 eV/atom.